(1)
12
Lattice="3.4529 0.0000 0.0000 0.0000 19.9692 0.0000 0.0000 0.0000 5.5649" Properties=species:S:1:pos:R:3 comment="AlSe2 | Alexandria | PBE | optimized geometry" spacegroup="No. 63" formation_energy_uncorrected_mev_per_atom=-312 pbc="T T T"
Al 0.0000 1.9403 1.3912
Al 0.0000 18.0289 4.1736
Al 1.7265 8.0443 4.1736
Al 1.7265 11.9249 1.3912
Se 0.0000 6.4213 4.1736
Se 0.0000 9.9715 4.1736
Se 0.0000 9.9977 1.3912
Se 0.0000 13.5479 1.3912
Se 1.7265 0.0131 1.3912
Se 1.7265 3.5633 1.3912
Se 1.7265 16.4059 4.1736
Se 1.7265 19.9561 4.1736

=====

(2)
12
Lattice="6.6658 0.0000 0.0000 0.0000 6.6658 0.0000 0.0000 0.0000 6.6658" Properties=species:S:1:pos:R:3 comment="Al2Se | Alexandria | PBE | optimized geometry" spacegroup="No. 225" formation_energy_uncorrected_mev_per_atom=351 pbc="T T T"
Al 1.6665 1.6665 1.6665
Al 1.6665 1.6665 4.9994
Al 1.6665 4.9994 1.6665
Al 1.6665 4.9994 4.9994
Al 4.9994 1.6665 1.6665
Al 4.9994 1.6665 4.9994
Al 4.9994 4.9994 1.6665
Al 4.9994 4.9994 4.9994
Se 0.0000 0.0000 0.0000
Se 0.0000 3.3329 3.3329
Se 3.3329 0.0000 3.3329
Se 3.3329 3.3329 0.0000

=====

(3)
3
Lattice="4.8984 0.0000 0.0000 0.0000 4.8984 0.0000 0.0000 0.0000 2.8241" Properties=species:S:1:pos:R:3 comment="AlSe2 | Alexandria | PBE | optimized geometry" spacegroup="No. 123" formation_energy_uncorrected_mev_per_atom=77 pbc="T T T"
Al 0.0000 0.0000 0.0000
Se 0.0000 2.4492 1.4121
Se 2.4492 0.0000 1.4121

=====

(4)
12
Lattice="11.3143 0.0000 0.0000 0.0000 3.6788 0.0000 -4.2535 0.0000 5.9634" Properties=species:S:1:pos:R:3 comment="Al2Se | Alexandria | PBE | optimized geometry" spacegroup="No. 12" formation_energy_uncorrected_mev_per_atom=-162 pbc="T T T"
Al -0.7607 0.0000 2.3843
Al -0.4438 1.8394 4.5079
Al 1.8475 0.0000 1.4555
Al 2.1644 1.8394 3.5791
Al 4.8964 1.8394 2.3843
Al 5.2133 0.0000 4.5079
Al 7.5046 1.8394 1.4555
Al 7.8215 0.0000 3.5791
Se -2.7864 1.8394 5.3412
Se 4.1900 0.0000 0.6222
Se 2.8708 0.0000 5.3412
Se 9.8472 1.8394 0.6222

=====

(5)
12
Lattice="6.0324 0.0000 0.0000 0.0000 6.0324 0.0000 0.0000 0.0000 6.6172" Properties=species:S:1:pos:R:3 comment="AlSe2 | Alexandria | PBE | optimized geometry" spacegroup="No. 140" formation_energy_uncorrected_mev_per_atom=-136 pbc="T T T"
Al 0.0000 0.0000 1.6543
Al 0.0000 0.0000 4.9629
Al 3.0162 3.0162 1.6543
Al 3.0162 3.0162 4.9629
Se 0.9472 2.0689 0.0000
Se 0.9472 3.9634 3.3086
Se 2.0689 0.9472 3.3086
Se 2.0689 5.0851 0.0000
Se 3.9634 0.9472 0.0000
Se 3.9634 5.0851 3.3086
Se 5.0851 2.0689 3.3086
Se 5.0851 3.9634 0.0000

=====

(6)
3
Lattice="3.7722 0.0000 0.0000 -1.8861 3.2668 0.0000 0.0000 0.0000 5.2075" Properties=species:S:1:pos:R:3 comment="AlSe2 | Alexandria | PBE | optimized geometry" spacegroup="No. 164" formation_energy_uncorrected_mev_per_atom=-515 pbc="T T T"
Al 0.0000 0.0000 0.0000
Se 0.0000 2.1779 1.3702
Se 1.8861 1.0889 3.8373

=====

(7)
12
Lattice="4.3233 0.0000 0.0000 0.0000 4.3233 0.0000 0.0000 0.0000 17.5151" Properties=species:S:1:pos:R:3 comment="AlSe2 | Alexandria | PBE | optimized geometry" spacegroup="No. 141" formation_energy_uncorrected_mev_per_atom=390 pbc="T T T"
Al 0.0000 1.0808 6.5682
Al 0.0000 3.2425 10.9470
Al 2.1617 1.0808 2.1894
Al 2.1617 3.2425 15.3257
Se 0.0000 1.0808 13.7554
Se 0.0000 1.0808 16.8961
Se 0.0000 3.2425 0.6190
Se 0.0000 3.2425 3.7598
Se 2.1617 1.0808 9.3766
Se 2.1617 1.0808 12.5173
Se 2.1617 3.2425 4.9978
Se 2.1617 3.2425 8.1386

=====

(8)
3
Lattice="3.6208 0.0000 0.0000 -1.8104 3.1357 0.0000 0.0000 0.0000 5.2322" Properties=species:S:1:pos:R:3 comment="Al2Se | Alexandria | PBE | optimized geometry" spacegroup="No. 164" formation_energy_uncorrected_mev_per_atom=-189 pbc="T T T"
Al 0.0000 2.0905 0.8958
Al 1.8104 1.0452 4.3364
Se 0.0000 0.0000 2.6161

=====

(9)
6
Lattice="5.0734 0.0000 0.0000 0.0000 7.2667 0.0000 0.0000 0.0000 3.5077" Properties=species:S:1:pos:R:3 comment="Al2Se | Alexandria | PBE | optimized geometry" spacegroup="No. 58" formation_energy_uncorrected_mev_per_atom=57 pbc="T T T"
Al 0.7942 1.0856 0.0000
Al 1.7425 4.7190 1.7539
Al 3.3309 2.5477 1.7539
Al 4.2792 6.1811 0.0000
Se 0.0000 3.6334 0.0000
Se 2.5367 0.0000 1.7539

=====

(10)
12
Lattice="3.7234 0.0000 0.0000 0.0000 13.2813 0.0000 0.0000 0.0000 5.1763" Properties=species:S:1:pos:R:3 comment="AlSe2 | Alexandria | PBE | optimized geometry" spacegroup="No. 63" formation_energy_uncorrected_mev_per_atom=-587 pbc="T T T"
Al 0.0000 2.2227 1.2941
Al 0.0000 11.0586 3.8822
Al 1.8617 4.4179 3.8822
Al 1.8617 8.8633 1.2941
Se 0.0000 2.6479 3.8822
Se 0.0000 6.2486 3.8822
Se 0.0000 7.0327 1.2941
Se 0.0000 10.6334 1.2941
Se 1.8617 0.3920 1.2941
Se 1.8617 3.9928 1.2941
Se 1.8617 9.2885 3.8822
Se 1.8617 12.8892 3.8822

=====

(11)
12
Lattice="-2.0433 2.0433 14.2368 2.0433 -2.0433 14.2368 2.0433 2.0433 -14.2368" Properties=species:S:1:pos:R:3 comment="Al2Se | Alexandria | PBE | optimized geometry" spacegroup="No. 141" formation_energy_uncorrected_mev_per_atom=59 pbc="T T T"
Al 2.0433 -1.0216 8.1761
Al 2.0433 1.0216 -3.5939
Al 2.0433 -1.0216 13.1792
Al 0.0000 1.0216 3.5245
Al 2.0433 1.0216 10.7123
Al 0.0000 3.0649 1.0577
Al 0.0000 1.0216 17.8307
Al 0.0000 3.0649 6.0607
Se 2.0433 1.0216 1.5519
Se 2.0433 1.0216 5.5665
Se 0.0000 1.0216 8.6703
Se 0.0000 1.0216 12.6849

=====

(12)
12
Lattice="14.2896 0.0000 0.0000 0.0000 3.6426 0.0000 -4.0619 0.0000 6.8757" Properties=species:S:1:pos:R:3 comment="AlSe2 | Alexandria | PBE | optimized geometry" spacegroup="No. 8" formation_energy_uncorrected_mev_per_atom=-532 pbc="T T T"
Al 0.0000 0.0000 0.0000
Al 0.7909 1.8213 2.3802
Al 7.1448 1.8213 0.0000
Al 7.9357 0.0000 2.3802
Se 2.0579 1.8213 0.3698
Se 0.8748 0.0000 3.9879
Se 3.1630 0.0000 5.0572
Se 5.7974 0.0000 1.3654
Se 9.2027 0.0000 0.3698
Se 8.0196 1.8213 3.9879
Se 10.3078 1.8213 5.0572
Se 12.9422 1.8213 1.3654

=====

(13)
12
Lattice="11.2232 0.0000 0.0000 0.0000 3.3339 0.0000 -0.6388 0.0000 6.4892" Properties=species:S:1:pos:R:3 comment="Al2Se | Alexandria | PBE | optimized geometry" spacegroup="No. 12" formation_energy_uncorrected_mev_per_atom=-114 pbc="T T T"
Al 1.5306 0.0000 0.3065
Al 2.1023 0.0000 4.2801
Al 2.8705 1.6669 2.2090
Al 3.4422 1.6669 6.1826
Al 7.1421 1.6669 0.3065
Al 7.7139 1.6669 4.2801
Al 8.4821 0.0000 2.2090
Al 9.0538 0.0000 6.1826
Se 0.0863 1.6669 4.9249
Se 4.8865 0.0000 1.5643
Se 5.6979 0.0000 4.9249
Se 10.4980 1.6669 1.5643

=====

(14)
12
Lattice="11.5229 0.0000 0.0000 0.0000 3.7118 0.0000 -0.3304 0.0000 5.7747" Properties=species:S:1:pos:R:3 comment="Al2Se | Alexandria | PBE | optimized geometry" spacegroup="No. 12" formation_energy_uncorrected_mev_per_atom=-203 pbc="T T T"
Al 0.1139 0.0000 1.3647
Al 1.4571 1.8559 3.7775
Al 3.9739 0.0000 1.9973
Al 5.3171 1.8559 4.4100
Al 5.8754 1.8559 1.3647
Al 7.2186 0.0000 3.7775
Al 9.7354 1.8559 1.9973
Al 11.0786 0.0000 4.4100
Se 2.1563 1.8559 1.3701
Se 3.2748 0.0000 4.4046
Se 7.9177 0.0000 1.3701
Se 9.0362 1.8559 4.4046

=====

(15)
9
Lattice="-4.3522 4.3522 2.0358 4.3522 -4.3522 2.0358 4.3522 4.3522 -2.0358" Properties=species:S:1:pos:R:3 comment="Al8Se | Alexandria | PBE | optimized geometry" spacegroup="No. 139" formation_energy_uncorrected_mev_per_atom=62 pbc="T T T"
Al 2.9224 0.0000 0.0000
Al 5.7819 0.0000 0.0000
Al 2.8480 2.8480 0.0000
Al 1.5041 -1.5041 2.0358
Al 0.0000 2.9224 0.0000
Al 0.0000 5.7819 0.0000
Al -1.5041 1.5041 2.0358
Al 1.5041 1.5041 2.0358
Se 0.0000 0.0000 0.0000

=====

(16)
12
Lattice="3.5627 0.0000 0.0000 0.0000 3.5627 0.0000 0.0000 0.0000 19.2902" Properties=species:S:1:pos:R:3 comment="Al2Se | Alexandria | PBE | optimized geometry" spacegroup="No. 141" formation_energy_uncorrected_mev_per_atom=12 pbc="T T T"
Al 0.0000 0.8907 5.8726
Al 0.0000 0.8907 8.5950
Al 0.0000 2.6720 10.6952
Al 0.0000 2.6720 13.4176
Al 1.7813 0.8907 1.0501
Al 1.7813 0.8907 3.7725
Al 1.7813 2.6720 15.5177
Al 1.7813 2.6720 18.2401
Se 0.0000 0.8907 16.8789
Se 0.0000 2.6720 2.4113
Se 1.7813 0.8907 12.0564
Se 1.7813 2.6720 7.2338

=====

(17)
10
Lattice="7.4940 -1.8021 0.0000 7.4940 1.8021 0.0000 -1.5506 0.0000 10.4070" Properties=species:S:1:pos:R:3 comment="AlSiSe3 | Alexandria | PBE | optimized geometry" spacegroup="No. 12" formation_energy_uncorrected_mev_per_atom=-512 pbc="T T T"
Al 0.4200 0.0000 4.8011
Al 13.0173 0.0000 5.6058
Si 5.8340 0.0000 2.4022
Si 7.6034 0.0000 8.0047
Se 0.5685 0.0000 9.4023
Se 4.3281 0.0000 4.1737
Se 5.3520 0.0000 7.4504
Se 8.0853 0.0000 2.9566
Se 9.1093 0.0000 6.2332
Se 12.8689 0.0000 1.0047

=====

(18)
14
Lattice="6.6707 0.0000 0.0000 0.0000 6.6707 0.0000 0.0000 0.0000 8.4353" Properties=species:S:1:pos:R:3 comment="Al2SiSe4 | Alexandria | PBE | optimized geometry" spacegroup="No. 121" formation_energy_uncorrected_mev_per_atom=-326 pbc="T T T"
Al 0.0000 3.3354 2.1088
Al 0.0000 3.3354 6.3265
Al 3.3354 0.0000 2.1088
Al 3.3354 0.0000 6.3265
Si 0.0000 0.0000 0.0000
Si 3.3354 3.3354 4.2176
Se 1.4574 1.4574 7.3795
Se 1.4574 5.2133 1.0557
Se 1.8780 1.8780 3.1619
Se 1.8780 4.7928 5.2734
Se 4.7928 1.8780 5.2734
Se 4.7928 4.7928 3.1619
Se 5.2133 1.4574 1.0557
Se 5.2133 5.2133 7.3795

=====

(19)
14
Lattice="7.9832 0.0000 0.0000 0.0000 7.9832 0.0000 0.0000 0.0000 6.0303" Properties=species:S:1:pos:R:3 comment="AlSi2Se4 | Alexandria | PBE | optimized geometry" spacegroup="No. 87" formation_energy_uncorrected_mev_per_atom=-113 pbc="T T T"
Al 0.0000 0.0000 0.0000
Al 3.9916 3.9916 3.0151
Si 0.0000 3.9916 1.5076
Si 0.0000 3.9916 4.5227
Si 3.9916 0.0000 1.5076
Si 3.9916 0.0000 4.5227
Se 1.1725 5.3894 3.0151
Se 1.3978 2.8191 0.0000
Se 2.5938 1.1725 3.0151
Se 2.8191 6.5854 0.0000
Se 5.1641 1.3978 0.0000
Se 5.3894 6.8107 3.0151
Se 6.5854 5.1641 0.0000
Se 6.8107 2.5938 3.0151

=====

(20)
5
Lattice="4.8491 0.0000 0.0000 0.0000 4.8491 0.0000 0.0000 0.0000 4.8491" Properties=species:S:1:pos:R:3 comment="AlSiSe3 | Alexandria | PBE | optimized geometry" spacegroup="No. 221" formation_energy_uncorrected_mev_per_atom=220 pbc="T T T"
Al 0.0000 0.0000 0.0000
Si 2.4245 2.4245 2.4245
Se 0.0000 2.4245 2.4245
Se 2.4245 0.0000 2.4245
Se 2.4245 2.4245 0.0000